(1)
A plane-wave DFT calculation with PBE was carried out for an optimized crystal structure of TiAgI2O.

Cell and atoms, written as POSCAR:
```
TiAgI2O
1.0
5.765 0.000 0.000
0.000 5.765 0.000
0.000 0.000 3.979
Ti O I Ag
1 1 2 1
direct
0.500 0.500 0.500 Ti
0.000 0.000 0.500 O
0.500 0.000 0.000 I
0.000 0.500 0.000 I
0.000 0.000 0.000 Ag
```

Calculated values
SG: P4/mmm
Electronic total energy, eV per atom: -3.428
Crystal system: tetragonal
Distance to the lowest polymorph of the same formula, meV per atom: 1230
Total moment, μB per formula unit: 1.73
E_form (uncorrected), eV per formula unit: 1.67

---

(2)
A plane-wave DFT calculation with PBE was carried out for an optimized crystal structure of TlAgIO2.

Cell and atoms, written as POSCAR:
```
TlAgIO2
1.0
-3.936 0.674 -1.215
-0.395 -4.042 -0.963
-2.234 -1.329 6.499
Ag I O Tl
1 1 2 1
direct
0.500 0.500 0.500 Ag
0.000 0.000 0.500 I
0.000 0.500 0.000 O
0.500 0.000 0.000 O
0.000 0.000 0.000 Tl
```

Calculated values
SG: P4/mmm
Electronic total energy, eV per atom: -3.214
Crystal system: tetragonal
Distance to the lowest polymorph of the same formula, meV per atom: 0
Total moment, μB per formula unit: 0.00
E_form (uncorrected), eV per formula unit: 0.61

---

(3)
A plane-wave DFT calculation with PBE was carried out for an optimized crystal structure of TlAg2IO6.

Cell and atoms, written as POSCAR:
```
TlAg2IO6
1.0
5.774 0.106 0.076
2.773 5.066 0.076
2.773 1.678 4.781
Ag O Tl I
2 6 1 1
direct
0.750 0.750 0.750 Ag
0.250 0.250 0.250 Ag
0.667 0.882 0.215 O
0.882 0.215 0.667 O
0.785 0.333 0.118 O
0.215 0.667 0.882 O
0.333 0.118 0.785 O
0.118 0.785 0.333 O
0.500 0.500 0.500 Tl
0.000 0.000 0.000 I
```

Calculated values
SG: R-3
Electronic total energy, eV per atom: -4.184
Crystal system: trigonal
Total moment, μB per formula unit: 0.00
E_form (uncorrected), eV per formula unit: -2.47

---

(4)
A plane-wave DFT calculation with PBE was carried out for an optimized crystal structure of Tl3AgI2O9.

Cell and atoms, written as POSCAR:
```
Tl3AgI2O9
1.0
5.880 0.000 0.000
-2.940 5.092 0.000
0.000 0.000 7.620
Ag O Tl I
1 9 3 2
direct
0.000 0.000 0.500 Ag
0.825 0.651 0.708 O
0.175 0.825 0.292 O
0.500 0.000 0.000 O
0.500 0.500 0.000 O
0.000 0.500 0.000 O
0.349 0.175 0.708 O
0.825 0.175 0.708 O
0.175 0.349 0.292 O
0.651 0.825 0.292 O
0.667 0.333 0.341 Tl
0.333 0.667 0.659 Tl
0.000 0.000 0.000 Tl
0.333 0.667 0.165 I
0.667 0.333 0.835 I
```

Calculated values
SG: P-3m1
Electronic total energy, eV per atom: -4.155
Crystal system: trigonal
Total moment, μB per formula unit: 0.00
E_form (uncorrected), eV per formula unit: -4.65

---

(5)
A plane-wave DFT calculation with PBE was carried out for an optimized crystal structure of Tl2AgIO6.

Cell and atoms, written as POSCAR:
```
Tl2AgIO6
1.0
-1.646 -4.405 -3.679
3.606 -2.041 -4.486
3.150 -5.209 0.691
I O Ag Tl
1 6 1 2
direct
0.308 0.345 0.015 I
0.274 0.919 0.208 O
0.962 0.579 0.203 O
0.676 0.187 0.761 O
0.349 0.693 0.797 O
0.125 0.402 0.782 O
0.635 0.195 0.258 O
0.757 0.811 0.639 Ag
0.004 0.015 0.979 Tl
0.573 0.516 0.373 Tl
```

Calculated values
SG: P1
Electronic total energy, eV per atom: -4.280
Crystal system: triclinic
Total moment, μB per formula unit: 0.00
E_form (uncorrected), eV per formula unit: -3.92

---

(6)
A plane-wave DFT calculation with PBE was carried out for an optimized crystal structure of TlAgIO2.

Cell and atoms, written as POSCAR:
```
TlAgIO2
1.0
4.400 0.000 0.000
0.000 4.400 0.000
0.000 0.000 5.595
Ag O I Tl
1 2 1 1
direct
0.000 0.000 0.000 Ag
0.000 0.500 0.000 O
0.500 0.000 0.000 O
0.000 0.000 0.500 I
0.500 0.500 0.500 Tl
```

Calculated values
SG: P4/mmm
Electronic total energy, eV per atom: -2.978
Crystal system: tetragonal
Distance to the lowest polymorph of the same formula, meV per atom: 236
Total moment, μB per formula unit: 0.00
E_form (uncorrected), eV per formula unit: 1.80

---

(7)
A plane-wave DFT calculation with PBE was carried out for an optimized crystal structure of Tl2AgIO4.

Cell and atoms, written as POSCAR:
```
Tl2AgIO4
1.0
6.364 -0.464 -0.712
-3.132 5.560 0.712
-3.132 -1.586 5.376
Ag O Tl I
1 4 2 1
direct
0.500 0.250 0.750 Ag
0.613 0.390 0.444 O
0.946 0.556 0.169 O
0.387 0.831 0.777 O
0.054 0.223 0.610 O
0.000 0.000 0.000 Tl
0.500 0.750 0.250 Tl
0.000 0.500 0.500 I
```

Calculated values
SG: I-4
Electronic total energy, eV per atom: -3.895
Crystal system: tetragonal
Total moment, μB per formula unit: 0.00
E_form (uncorrected), eV per formula unit: -2.20

---

(8)
A plane-wave DFT calculation with PBE was carried out for an optimized crystal structure of Tm2Ag2IO6.

Cell and atoms, written as POSCAR:
```
Tm2Ag2IO6
1.0
6.083 -0.273 0.951
-3.244 5.153 0.951
-0.268 -0.461 6.451
O I Ag Tm
6 1 2 2
direct
0.699 0.057 0.330 O
0.943 0.301 0.670 O
0.647 0.647 0.638 O
0.301 0.943 0.670 O
0.057 0.699 0.330 O
0.353 0.353 0.362 O
0.000 0.000 0.500 I
0.176 0.824 0.000 Ag
0.824 0.176 0.000 Ag
0.663 0.337 0.500 Tm
0.337 0.663 0.500 Tm
```

Calculated values
SG: C2/m
Electronic total energy, eV per atom: -5.764
Crystal system: monoclinic
Total moment, μB per formula unit: 0.98
E_form (uncorrected), eV per formula unit: -17.46